This record from the Alexandria database describes crystalline MnTlBr2 at its relaxed geometry. The functional is PBE.

Results
Space-group type: Cmmm (65)
ΔE_f (raw), eV per atom: -0.374
Offset from the most stable computed form, meV per atom: 107.2

```
4
Lattice="1.8445 -3.3957 0.0000 1.8445 3.3957 0.0000 0.0000 0.0000 9.8683" Properties=species:S:1:pos:R:3 pbc="T T T"
Mn 0.0000 0.0000 0.0000
Tl 0.0000 0.0000 4.9342
Br 1.8445 0.0000 1.8008
Br 1.8445 0.0000 8.0676
```